No. 1
# AlTlTe2 (PBE, optimized geometry)
# theoretical density: 6.47 g/cm³
# raw formation energy: 0.0558 eV/atom
data_AlTlTe2
_chemical_formula_sum 'Al1 Tl1 Te2'
_space_group_name_H-M_alt 'P 4 m m'
_space_group_IT_number 99
_space_group_name_Hall 'P 4 -2'
_cell_length_a 3.5534
_cell_length_b 3.5534
_cell_length_c 9.8943
_cell_angle_alpha 90.00
_cell_angle_beta 90.00
_cell_angle_gamma 90.00
loop_
_atom_site_label
_atom_site_type_symbol
_atom_site_fract_x
_atom_site_fract_y
_atom_site_fract_z
Al1 Al 0.0000 0.0000 0.0000
Tl1 Tl 0.5000 0.5000 0.7458
Te1 Te 0.0000 0.0000 0.4973
Te2 Te 0.5000 0.5000 0.1278


No. 2
# V3CrRu (PBE, optimized geometry)
# polymorph energy (0 for the lowest one): 812 meV/atom
# theoretical density: 6.74 g/cm³
# ΔE_f: 0.942 eV/atom
data_V3CrRu
_chemical_formula_sum 'V3 Cr1 Ru1'
_space_group_name_H-M_alt 'P m -3 m'
_space_group_IT_number 221
_space_group_name_Hall '-P 4 2 3'
_cell_length_a 4.2246
_cell_length_b 4.2246
_cell_length_c 4.2246
_cell_angle_alpha 90.00
_cell_angle_beta 90.00
_cell_angle_gamma 90.00
loop_
_atom_site_label
_atom_site_type_symbol
_atom_site_fract_x
_atom_site_fract_y
_atom_site_fract_z
V1 V 0.0000 0.0000 0.5000
Cr1 Cr 0.0000 0.0000 0.0000
Ru1 Ru 0.5000 0.5000 0.5000


No. 3
# TlTeP2 (PBE, optimized geometry)
# polymorph energy (0 for the lowest one): 273 meV/atom
# theoretical density: 5.84 g/cm³
# raw formation energy: 0.2982 eV/atom
data_TlTeP2
_chemical_formula_sum 'Tl2 Te2 P4'
_space_group_name_H-M_alt 'C 1 m 1'
_space_group_IT_number 8
_space_group_name_Hall 'C -2y'
_cell_length_a 10.2878
_cell_length_b 3.9827
_cell_length_c 6.0225
_cell_angle_alpha 90.00
_cell_angle_beta 114.84
_cell_angle_gamma 90.00
loop_
_atom_site_label
_atom_site_type_symbol
_atom_site_fract_x
_atom_site_fract_y
_atom_site_fract_z
Tl1 Tl 0.0000 0.0000 0.0000
Te1 Te 0.2070 0.0000 0.6180
P1 P 0.2853 0.5000 0.3479
P2 P 0.4115 0.0000 0.4916


No. 4
# UPaO6 (PBE, optimized geometry)
# theoretical density: 6.26 g/cm³
# raw formation energy: -2.9862 eV/atom
data_UPaO6
_chemical_formula_sum 'U3 Pa3 O18'
_space_group_name_H-M_alt 'R -3'
_space_group_IT_number 148
_space_group_name_Hall '-R 3'
_cell_length_a 5.9602
_cell_length_b 5.9602
_cell_length_c 14.6057
_cell_angle_alpha 90.00
_cell_angle_beta 90.00
_cell_angle_gamma 120.00
loop_
_atom_site_label
_atom_site_type_symbol
_atom_site_fract_x
_atom_site_fract_y
_atom_site_fract_z
U1 U 0.0000 0.0000 0.0000
Pa1 Pa 0.0000 0.0000 0.5000
O1 O 0.0074 0.5008 0.7481


No. 5
# Tc2IrOs2 (PBE, optimized geometry)
# polymorph energy (0 for the lowest one): 0 meV/atom
# theoretical density: 17.67 g/cm³
# ΔE_f: -0.011 eV/atom
data_Tc2IrOs2
_chemical_formula_sum 'Tc4 Ir2 Os4'
_space_group_name_H-M_alt 'C 1 2/m 1'
_space_group_IT_number 12
_space_group_name_Hall '-C 2y'
_cell_length_a 8.6280
_cell_length_b 3.8766
_cell_length_c 6.0986
_cell_angle_alpha 90.00
_cell_angle_beta 134.91
_cell_angle_gamma 90.00
loop_
_atom_site_label
_atom_site_type_symbol
_atom_site_fract_x
_atom_site_fract_y
_atom_site_fract_z
Tc1 Tc 0.0942 0.0000 0.3949
Ir1 Ir 0.0000 0.5000 0.0000
Os1 Os 0.1991 0.5000 0.7973


No. 6
# K2HgPb (PBE, optimized geometry)
# theoretical density: 5.54 g/cm³
# ΔE_f: -0.103 eV/atom
data_K2HgPb
_chemical_formula_sum 'K4 Hg2 Pb2'
_space_group_name_H-M_alt 'C 1 2/m 1'
_space_group_IT_number 12
_space_group_name_Hall '-C 2y'
_cell_length_a 7.1788
_cell_length_b 10.5035
_cell_length_c 3.8615
_cell_angle_alpha 90.00
_cell_angle_beta 90.84
_cell_angle_gamma 90.00
loop_
_atom_site_label
_atom_site_type_symbol
_atom_site_fract_x
_atom_site_fract_y
_atom_site_fract_z
K1 K 0.2500 0.2500 0.0000
Hg1 Hg 0.0000 0.0000 0.5000
Pb1 Pb 0.0000 0.5000 0.5000


No. 7
# PmCu2Pd4 (PBE, optimized geometry)
# theoretical density: 9.90 g/cm³
# ΔE_f: -0.424 eV/atom
data_PmCu2Pd4
_chemical_formula_sum 'Pm2 Cu4 Pd8'
_space_group_name_H-M_alt 'C 1 2/m 1'
_space_group_IT_number 12
_space_group_name_Hall '-C 2y'
_cell_length_a 8.5189
_cell_length_b 6.6314
_cell_length_c 5.2149
_cell_angle_alpha 90.00
_cell_angle_beta 127.38
_cell_angle_gamma 90.00
loop_
_atom_site_label
_atom_site_type_symbol
_atom_site_fract_x
_atom_site_fract_y
_atom_site_fract_z
Pm1 Pm 0.0000 0.0000 0.0000
Cu1 Cu 0.0000 0.5000 0.2476
Pd1 Pd 0.1998 0.2024 0.6999


No. 8
# Ba2MgAs4Au3 (PBE, optimized geometry)
# theoretical density: 8.19 g/cm³
# ΔE_f: -0.652 eV/atom
data_Ba2MgAs4Au3
_chemical_formula_sum 'Ba2 Mg1 As4 Au3'
_space_group_name_H-M_alt 'P -4 m 2'
_space_group_IT_number 115
_space_group_name_Hall 'P -4 -2'
_cell_length_a 4.6645
_cell_length_b 4.6645
_cell_length_c 11.0804
_cell_angle_alpha 90.00
_cell_angle_beta 90.00
_cell_angle_gamma 90.00
loop_
_atom_site_label
_atom_site_type_symbol
_atom_site_fract_x
_atom_site_fract_y
_atom_site_fract_z
Ba1 Ba 0.0000 0.5000 0.2408
Mg1 Mg 0.0000 0.0000 0.5000
As1 As 0.0000 0.0000 0.0000
As2 As 0.0000 0.5000 0.6365
As3 As 0.5000 0.5000 0.0000
Au1 Au 0.0000 0.5000 0.8770
Au2 Au 0.5000 0.5000 0.5000


| no. | total magnetization (μB per cell) |
| --- | --- |
| 1 | 0.000 |
| 2 | 0.000 |
| 3 | 0.000 |
| 4 | 0.000 |
| 5 | 0.000 |
| 6 | 0.000 |
| 7 | 0.000 |
| 8 | 0.000 |